The following is a DFT calculation (PBE) of a geometry-optimized BaWAu2 structure.

a b c (Å): 5.5691 5.5691 16.6669
angles (deg): 90.00 90.00 90.00
Space group I-42d (No. 122)
Inequivalent atoms, fractional coordinates:
Ba: 0.0000 0.0000 0.0000 x4
W: 0.0000 0.0000 0.5000 x4
Au: 0.1000 0.2500 0.6250 x8

## Properties
ΔE to the lowest computed polymorph   410 meV/atom
E_tot   -4.7213 eV per atom
Energy of formation   2.55 eV/f.u.